[1]
{"formula": "VSiSn3", "functional": "PBE", "state": "relaxed", "lattice": [[5.173, 0.000, 0.000], [0.000, 5.173, 0.000], [0.000, 0.000, 5.173]], "species": ["V", "Si", "Sn", "Sn", "Sn"], "fractional_positions": [[0.000, 0.000, 0.000], [0.500, 0.500, 0.500], [0.000, 0.500, 0.500], [0.500, 0.000, 0.500], [0.500, 0.500, 0.000]], "energy_ev_per_atom": -4.367, "e_form_raw_ev_per_fu": 4.72, "magmom_total_mub_per_atom": 0.7112, "crystal_system": "cubic"}

=====

[2]
{"formula": "VSi2Sn", "functional": "PBE", "state": "relaxed", "lattice": [[-2.931, 2.931, 5.839], [2.931, -2.931, 5.839], [2.931, 2.931, -5.839]], "species": ["V", "V", "Si", "Si", "Si", "Si", "Sn", "Sn"], "fractional_positions": [[0.000, 0.000, 0.000], [0.750, 0.250, 0.500], [0.092, 0.625, 0.967], [0.375, 0.342, 0.467], [0.658, 0.125, 0.033], [0.875, 0.908, 0.533], [0.250, 0.750, 0.500], [0.500, 0.500, 0.000]], "energy_ev_per_atom": -5.341, "e_form_raw_ev_per_fu": 2.60, "magmom_total_mub_per_atom": 0.2393, "crystal_system": "tetragonal"}

=====

[3]
{"formula": "VSiSn", "functional": "PBE", "state": "relaxed", "lattice": [[2.929, 0.000, 0.000], [0.000, 11.616, 0.000], [-0.005, 0.000, 3.243]], "species": ["V", "V", "Si", "Si", "Sn", "Sn"], "fractional_positions": [[0.000, 0.216, 0.000], [0.000, 0.784, 0.000], [0.500, 0.102, 0.500], [0.500, 0.898, 0.500], [0.500, 0.374, 0.500], [0.500, 0.626, 0.500]], "energy_ev_per_atom": -6.159, "e_form_raw_ev_per_fu": 0.07, "magmom_total_mub_per_atom": 0.2755, "crystal_system": "monoclinic"}

=====

[4]
{"formula": "V6SiSn", "functional": "PBE", "state": "relaxed", "lattice": [[4.839, 0.000, 0.000], [0.000, 4.839, 0.000], [0.000, 0.000, 4.839]], "species": ["V", "V", "V", "V", "V", "V", "Si", "Sn"], "fractional_positions": [[0.000, 0.235, 0.500], [0.000, 0.765, 0.500], [0.235, 0.500, 0.000], [0.500, 0.000, 0.235], [0.500, 0.000, 0.765], [0.765, 0.500, 0.000], [0.000, 0.000, 0.000], [0.500, 0.500, 0.500]], "energy_ev_per_atom": -8.255, "e_form_raw_ev_per_fu": -1.90, "magmom_total_mub_per_atom": 0.0012, "crystal_system": "cubic"}

=====

[5]
{"formula": "VSiSn2", "functional": "PBE", "state": "relaxed", "lattice": [[-3.826, 3.826, 3.000], [3.826, -3.826, 3.000], [3.826, 3.826, -3.000]], "species": ["V", "V", "Si", "Si", "Sn", "Sn", "Sn", "Sn"], "fractional_positions": [[0.000, 0.000, 0.000], [0.750, 0.250, 0.500], [0.250, 0.750, 0.500], [0.500, 0.500, 0.000], [0.147, 0.625, 0.022], [0.375, 0.397, 0.522], [0.603, 0.125, 0.978], [0.875, 0.853, 0.478]], "energy_ev_per_atom": -5.142, "e_form_raw_ev_per_fu": 1.98, "magmom_total_mub_per_atom": 0.8134, "crystal_system": "tetragonal"}

=====

[6]
{"formula": "V3SiSn", "functional": "PBE", "state": "relaxed", "lattice": [[4.457, 0.000, 0.000], [0.000, 4.457, 0.000], [0.000, 0.000, 4.457]], "species": ["V", "V", "V", "Si", "Sn"], "fractional_positions": [[0.000, 0.000, 0.500], [0.000, 0.500, 0.000], [0.500, 0.000, 0.000], [0.000, 0.000, 0.000], [0.500, 0.500, 0.500]], "energy_ev_per_atom": -6.904, "e_form_raw_ev_per_fu": 2.26, "magmom_total_mub_per_atom": 0.7199, "crystal_system": "cubic"}

=====

[7]
{"formula": "V12SiSn3", "functional": "PBE", "state": "relaxed", "lattice": [[4.895, 0.000, 0.000], [0.000, 4.912, 0.000], [0.000, 0.000, 9.803]], "species": ["V", "V", "V", "V", "V", "V", "V", "V", "V", "V", "V", "V", "Si", "Sn", "Sn", "Sn"], "fractional_positions": [[0.000, 0.000, 0.117], [0.000, 0.000, 0.374], [0.000, 0.000, 0.626], [0.000, 0.000, 0.883], [0.247, 0.500, 0.500], [0.268, 0.500, 0.000], [0.500, 0.240, 0.237], [0.500, 0.240, 0.763], [0.500, 0.760, 0.237], [0.500, 0.760, 0.763], [0.732, 0.500, 0.000], [0.753, 0.500, 0.500], [0.500, 0.000, 0.000], [0.000, 0.500, 0.248], [0.000, 0.500, 0.752], [0.500, 0.000, 0.500]], "energy_ev_per_atom": -8.084, "e_form_raw_ev_per_fu": -2.49, "magmom_total_mub_per_atom": 0.0001, "crystal_system": "orthorhombic"}

=====

[8]
{"formula": "V3SiSn", "functional": "PBE", "state": "relaxed", "lattice": [[4.944, 0.000, 0.000], [0.000, 4.944, 0.000], [0.000, 0.000, 4.944]], "species": ["V", "V", "V", "Si", "Sn"], "fractional_positions": [[0.000, 0.000, 0.500], [0.000, 0.500, 0.000], [0.500, 0.000, 0.000], [0.500, 0.500, 0.500], [0.000, 0.000, 0.000]], "energy_ev_per_atom": -5.723, "e_form_raw_ev_per_fu": 8.17, "magmom_total_mub_per_atom": 1.4342, "crystal_system": "cubic"}

=====

Question: Which formula does entry 5 have?
Answer: VSiSn2